DFT (PBE-GGA) results for an optimized crystal structure of TaInOs2.

Formation energy ... 0.21 eV/atom
Mass density ... 17.0 g/cm³
SG ... I-4m2
Spin magnetization ... 0.0000 μB/atom

Unit cell a=5.1710 b=5.1710 c=5.1710 alpha=135.93 beta=135.93 gamma=64.09
Closest atoms and distances in Å follow each position.
Positions (direct):
Os  0.2500  0.7500  0.5000  4 In 2.74, 4 Os 2.93, 4 Ta 2.93
Os  0.0000  0.0000  0.0000  4 Ta 2.74, 4 Os 2.93, 4 In 2.93
Ta  0.5000  0.5000  0.0000  8 Os 2.74-2.93, 4 In 2.93
In  0.7500  0.2500  0.5000  8 Os 2.74-2.93, 4 Ta 2.93